Be4SbSe | PBE-GGA | relaxed

Structure (POSCAR):
```
Be4SbSe
1.0
0.000 3.465 3.465
3.465 0.000 3.465
3.465 3.465 0.000
Be Sb Se
4 1 1
Cartesian
0.866 0.866 0.866 Be
2.599 2.599 0.866 Be
2.599 0.866 2.599 Be
0.866 2.599 2.599 Be
3.465 3.465 3.465 Sb
5.198 5.198 5.198 Se
```

VASP energy = -3.153 eV/atom
density = 4.73 g cm⁻³